{
  "formula": "Pu12SnPb4N3",
  "functional": "PBE-GGA",
  "state": "optimized geometry",
  "total_energy_ev_per_atom": -11.0948,
  "raw_formation_energy_ev_per_fu": -6.100,
  "volume_a3_per_atom": 26.4,
  "lattice": [[-8.5659, -0.1636, -2.0684], [1.5759, -5.7955, 6.4504], [2.2134, 8.0885, 2.7123]],
  "species": ["Pu", "Pu", "Pu", "Pu", "Pu", "Pu", "Pu", "Pu", "Pu", "Pu", "Pu", "Pu", "Sn", "Pb", "Pb", "Pb", "Pb", "N", "N", "N"],
  "fractional_positions": [[0.2500, 0.5000, 0.7500], [0.7170, 0.0000, 0.7170], [0.2830, 0.0000, 0.2830], [0.7500, 0.5000, 0.2500], [0.7170, 0.7170, 0.0000], [0.2830, 0.2830, 0.0000], [0.7500, 0.2500, 0.5000], [0.2500, 0.7500, 0.5000], [0.5000, 0.2500, 0.7500], [0.0000, 0.7170, 0.7170], [0.5000, 0.7500, 0.2500], [0.0000, 0.2830, 0.2830], [0.0000, 0.0000, 0.0000], [0.5000, 0.5000, 0.5000], [0.0000, 0.0000, 0.5000], [0.5000, 0.0000, 0.0000], [0.0000, 0.5000, 0.0000], [0.5000, 0.0000, 0.5000], [0.5000, 0.5000, 0.0000], [0.0000, 0.5000, 0.5000]]
}